Entry 1:
Density functional theory data (PBE) for a relaxed Zr2VC2 crystal.

Cell: 6.746 6.746 2.990 Å, 90.00 90.00 90.00°
Atoms (fractional coordinates):
Zr1 0.145 0.355 0.000
Zr2 0.355 0.855 0.000
Zr3 0.645 0.145 0.000
Zr4 0.855 0.645 0.000
V1 0.000 0.000 0.000
V2 0.500 0.500 0.000
C1 0.168 0.668 0.500
C2 0.332 0.168 0.500
C3 0.668 0.832 0.500
C4 0.832 0.332 0.500

**Space-group type**: No. 127
**Energy above the lowest structure with this stoichiometry**: 1.0628 eV per atom
**Energy relative to the elements**: 0.732 eV per atom
**Crystal system**: tetragonal

---

Entry 2:
Density functional theory data (PBE) for a relaxed ZrV2C2 crystal.

Cell: 5.978 5.438 5.406 Å, 66.91 56.81 56.29°
Atoms (fractional coordinates):
Zr1 0.125 0.125 0.125
Zr2 0.875 0.875 0.875
V1 0.237 0.237 0.513
V2 0.487 0.487 0.763
V3 0.513 0.513 0.237
V4 0.763 0.763 0.487
C1 0.158 0.592 0.158
C2 0.408 0.842 0.408
C3 0.592 0.158 0.592
C4 0.842 0.408 0.842

**Space-group type**: No. 70
**Energy above the lowest structure with this stoichiometry**: 0.0000 eV per atom
**Energy relative to the elements**: -0.372 eV per atom
**Crystal system**: orthorhombic

---

Entry 3:
Density functional theory data (PBE) for a relaxed Zr2VC2 crystal.

Cell: 6.165 6.165 3.325 Å, 90.00 90.00 90.00°
Atoms (fractional coordinates):
Zr1 0.165 0.335 0.000
Zr2 0.335 0.835 0.000
Zr3 0.665 0.165 0.000
Zr4 0.835 0.665 0.000
V1 0.000 0.000 0.500
V2 0.500 0.500 0.500
C1 0.153 0.653 0.500
C2 0.347 0.153 0.500
C3 0.653 0.847 0.500
C4 0.847 0.347 0.500

**Space-group type**: No. 127
**Energy above the lowest structure with this stoichiometry**: 0.0000 eV per atom
**Energy relative to the elements**: -0.331 eV per atom
**Crystal system**: tetragonal

---

Entry 4:
Density functional theory data (PBE) for a relaxed ZrVC3 crystal.

Cell: 4.237 4.237 4.237 Å, 90.00 90.00 90.00°
Atoms (fractional coordinates):
Zr1 0.000 0.000 0.000
V1 0.500 0.500 0.500
C1 0.000 0.000 0.500
C2 0.000 0.500 0.000
C3 0.500 0.000 0.000

**Space-group type**: No. 221
**Energy above the lowest structure with this stoichiometry**: 1.2752 eV per atom
**Energy relative to the elements**: 2.167 eV per atom
**Crystal system**: cubic